! TmGaPd4, relaxed, DFT PBE; values from VASP
! Energy = -31.562 eV per cell
! DFT formation energy = -0.5487 eV per atom
! D(E_F) = 0.326 states/eV per atom
! Density = 10.2 g cm⁻³
&SYSTEM
  ibrav = 0, nat = 6, ntyp = 3
/
ATOMIC_SPECIES
Pd 106.42 Pd.upf
Ga 69.72 Ga.upf
Tm 168.93 Tm.upf
CELL_PARAMETERS angstrom
3.222 0.000 0.000
1.611 4.394 0.068
1.611 0.656 7.650
ATOMIC_POSITIONS crystal
Pd 0.152 0.034 0.663
Pd 0.848 0.966 0.337
Pd 0.360 0.413 0.866
Pd 0.640 0.587 0.134
Ga 0.000 0.000 0.000
Tm 0.500 0.500 0.500



! TmGa3Pd2, relaxed, DFT PBE; values from VASP
! Energy = -55.644 eV per cell
! DFT formation energy = -0.6474 eV per atom
! D(E_F) = 0.388 states/eV per atom
! Density = 9.0 g cm⁻³
&SYSTEM
  ibrav = 0, nat = 12, ntyp = 3
/
ATOMIC_SPECIES
Pd 106.42 Pd.upf
Ga 69.72 Ga.upf
Tm 168.93 Tm.upf
CELL_PARAMETERS angstrom
-3.346 0.259 2.422
-1.873 -6.567 -5.420
4.005 -1.396 5.682
ATOMIC_POSITIONS crystal
Pd 0.227 0.453 0.738
Pd 0.773 0.547 0.262
Pd 0.492 0.983 0.794
Pd 0.508 0.017 0.206
Ga 0.316 0.632 0.529
Ga 0.684 0.368 0.471
Ga 0.061 0.121 0.450
Ga 0.939 0.879 0.550
Ga 0.337 0.675 0.159
Ga 0.663 0.325 0.841
Tm 0.882 0.763 0.916
Tm 0.118 0.237 0.084



! Tm2Ga8Pd, relaxed, DFT PBE; values from VASP
! Energy = -43.830 eV per cell
! DFT formation energy = -0.4981 eV per atom
! D(E_F) = 0.672 states/eV per atom
! Density = 8.1 g cm⁻³
&SYSTEM
  ibrav = 0, nat = 11, ntyp = 3
/
ATOMIC_SPECIES
Pd 106.42 Pd.upf
Ga 69.72 Ga.upf
Tm 168.93 Tm.upf
CELL_PARAMETERS angstrom
4.312 0.000 0.000
0.000 4.312 0.000
0.000 0.000 11.054
ATOMIC_POSITIONS crystal
Pd 0.000 0.000 0.000
Ga 0.000 0.500 0.500
Ga 0.500 0.500 0.695
Ga 0.500 0.500 0.305
Ga 0.000 0.500 0.128
Ga 0.500 0.000 0.500
Ga 0.500 0.000 0.872
Ga 0.000 0.500 0.872
Ga 0.500 0.000 0.128
Tm 0.000 0.000 0.688
Tm 0.000 0.000 0.312



! TmGa6Pd4, relaxed, DFT PBE; values from VASP
! Energy = -50.001 eV per cell
! DFT formation energy = -0.5997 eV per atom
! D(E_F) = 0.399 states/eV per atom
! Density = 8.9 g cm⁻³
&SYSTEM
  ibrav = 0, nat = 11, ntyp = 3
/
ATOMIC_SPECIES
Ga 69.72 Ga.upf
Pd 106.42 Pd.upf
Tm 168.93 Tm.upf
CELL_PARAMETERS angstrom
3.720 0.000 0.000
0.000 7.665 0.000
0.000 -3.833 6.638
ATOMIC_POSITIONS crystal
Ga 0.500 0.191 0.809
Ga 0.500 0.191 0.383
Ga 0.000 0.942 0.471
Ga 0.000 0.529 0.471
Ga 0.000 0.529 0.058
Ga 0.500 0.617 0.809
Pd 0.500 0.802 0.198
Pd 0.500 0.802 0.605
Pd 0.500 0.395 0.198
Pd 0.000 0.333 0.667
Tm 0.000 0.000 0.000



! TmGa4Pd, relaxed, DFT PBE; values from VASP
! Energy = -48.213 eV per cell
! DFT formation energy = -0.3891 eV per atom
! D(E_F) = 0.498 states/eV per atom
! Density = 8.4 g cm⁻³
&SYSTEM
  ibrav = 0, nat = 12, ntyp = 3
/
ATOMIC_SPECIES
Tm 168.93 Tm.upf
Ga 69.72 Ga.upf
Pd 106.42 Pd.upf
CELL_PARAMETERS angstrom
-4.152 -0.172 1.820
-2.025 -0.787 -4.674
4.045 -8.775 2.678
ATOMIC_POSITIONS crystal
Tm 0.750 0.750 0.000
Tm 0.250 0.250 0.000
Ga 0.353 0.863 0.205
Ga 0.427 0.452 0.353
Ga 0.647 0.137 0.795
Ga 0.073 0.048 0.647
Ga 0.147 0.637 0.795
Ga 0.573 0.548 0.647
Ga 0.853 0.363 0.205
Ga 0.927 0.952 0.353
Pd 0.000 0.500 0.500
Pd 0.500 0.000 0.500



! TmGaPd5, relaxed, DFT PBE; values from VASP
! Energy = -72.646 eV per cell
! DFT formation energy = -0.4086 eV per atom
! D(E_F) = 0.426 states/eV per atom
! Density = 10.0 g cm⁻³
&SYSTEM
  ibrav = 0, nat = 14, ntyp = 3
/
ATOMIC_SPECIES
Pd 106.42 Pd.upf
Tm 168.93 Tm.upf
Ga 69.72 Ga.upf
CELL_PARAMETERS angstrom
6.336 -0.041 1.519
1.971 6.022 1.519
4.346 3.129 8.285
ATOMIC_POSITIONS crystal
Pd 0.547 0.229 0.068
Pd 0.453 0.771 0.932
Pd 0.229 0.547 0.568
Pd 0.278 0.355 0.352
Pd 0.355 0.278 0.852
Pd 0.722 0.645 0.648
Pd 0.138 0.862 0.250
Pd 0.645 0.722 0.148
Pd 0.862 0.138 0.750
Pd 0.771 0.453 0.432
Tm 0.227 0.773 0.750
Tm 0.773 0.227 0.250
Ga 0.000 0.000 0.000
Ga 0.000 0.000 0.500



! Tm3Ga5Pd6, relaxed, DFT PBE; values from VASP
! Energy = -142.421 eV per cell
! DFT formation energy = -0.8217 eV per atom
! D(E_F) = 0.509 states/eV per atom
! Density = 9.9 g cm⁻³
&SYSTEM
  ibrav = 0, nat = 28, ntyp = 3
/
ATOMIC_SPECIES
Pd 106.42 Pd.upf
Tm 168.93 Tm.upf
Ga 69.72 Ga.upf
CELL_PARAMETERS angstrom
-1.864 3.353 2.023
-7.827 -4.244 -0.176
2.686 -5.431 11.480
ATOMIC_POSITIONS crystal
Pd 0.500 0.949 0.000
Pd 0.000 0.978 0.847
Pd 0.500 0.407 0.811
Pd 0.500 0.022 0.653
Pd 0.000 0.415 0.500
Pd 0.000 0.978 0.153
Pd 0.000 0.593 0.689
Pd 0.000 0.593 0.311
Pd 0.000 0.051 0.500
Pd 0.500 0.407 0.189
Pd 0.500 0.585 0.000
Pd 0.500 0.022 0.347
Tm 0.000 0.233 0.000
Tm 0.500 0.754 0.198
Tm 0.000 0.246 0.302
Tm 0.500 0.767 0.500
Tm 0.500 0.754 0.802
Tm 0.000 0.246 0.698
Ga 0.000 0.529 0.117
Ga 0.000 0.873 0.656
Ga 0.500 0.471 0.383
Ga 0.500 0.127 0.844
Ga 0.500 0.127 0.156
Ga 0.000 0.786 0.000
Ga 0.500 0.214 0.500
Ga 0.000 0.873 0.344
Ga 0.500 0.471 0.617
Ga 0.000 0.529 0.883



! TmGa2Pd7, relaxed, DFT PBE; values from VASP
! Energy = -53.709 eV per cell
! DFT formation energy = -0.6834 eV per atom
! D(E_F) = 0.249 states/eV per atom
! Density = 10.3 g cm⁻³
&SYSTEM
  ibrav = 0, nat = 10, ntyp = 3
/
ATOMIC_SPECIES
Pd 106.42 Pd.upf
Ga 69.72 Ga.upf
Tm 168.93 Tm.upf
CELL_PARAMETERS angstrom
4.043 0.000 -0.778
-0.150 4.041 -0.778
-0.093 -0.097 10.411
ATOMIC_POSITIONS crystal
Pd 0.899 0.399 0.797
Pd 0.500 0.500 0.000
Pd 0.250 0.750 0.500
Pd 0.399 0.899 0.797
Pd 0.601 0.101 0.203
Pd 0.101 0.601 0.203
Pd 0.750 0.250 0.500
Ga 0.325 0.325 0.649
Ga 0.675 0.675 0.351
Tm 0.000 0.000 0.000



! TmGa2Pd2, relaxed, DFT PBE; values from VASP
! Energy = -49.507 eV per cell
! DFT formation energy = -0.7685 eV per atom
! D(E_F) = 0.348 states/eV per atom
! Density = 9.3 g cm⁻³
&SYSTEM
  ibrav = 0, nat = 10, ntyp = 3
/
ATOMIC_SPECIES
Ga 69.72 Ga.upf
Tm 168.93 Tm.upf
Pd 106.42 Pd.upf
CELL_PARAMETERS angstrom
-1.690 -3.256 2.669
4.252 -0.235 2.405
-1.226 5.717 6.199
ATOMIC_POSITIONS crystal
Ga 0.750 0.254 0.362
Ga 0.250 0.746 0.638
Ga 0.750 0.633 0.032
Ga 0.250 0.367 0.968
Tm 0.250 0.819 0.270
Tm 0.750 0.181 0.730
Pd 0.750 0.108 0.092
Pd 0.250 0.892 0.908
Pd 0.750 0.703 0.480
Pd 0.250 0.297 0.520



! TmGa4Pd4, relaxed, DFT PBE; values from VASP
! Energy = -85.457 eV per cell
! DFT formation energy = -0.5976 eV per atom
! D(E_F) = 0.452 states/eV per atom
! Density = 9.2 g cm⁻³
&SYSTEM
  ibrav = 0, nat = 18, ntyp = 3
/
ATOMIC_SPECIES
Pd 106.42 Pd.upf
Ga 69.72 Ga.upf
Tm 168.93 Tm.upf
CELL_PARAMETERS angstrom
-3.534 1.493 -4.662
0.956 -5.428 -2.464
-6.911 -3.140 4.234
ATOMIC_POSITIONS crystal
Pd 0.000 0.728 0.397
Pd 0.000 0.272 0.397
Pd 0.728 0.000 0.603
Pd 0.772 0.500 0.897
Pd 0.228 0.500 0.897
Pd 0.500 0.228 0.103
Pd 0.500 0.772 0.103
Pd 0.272 0.000 0.603
Ga 0.500 0.787 0.808
Ga 0.500 0.213 0.808
Ga 0.713 0.000 0.308
Ga 0.213 0.500 0.192
Ga 0.787 0.500 0.192
Ga 0.000 0.287 0.692
Ga 0.287 0.000 0.308
Ga 0.000 0.713 0.692
Tm 0.500 0.500 0.500
Tm 0.000 0.000 0.000



! Tm4Ga6Pd7, relaxed, DFT PBE; values from VASP
! Energy = -86.919 eV per cell
! DFT formation energy = -0.8542 eV per atom
! D(E_F) = 0.565 states/eV per atom
! Density = 10.0 g cm⁻³
&SYSTEM
  ibrav = 0, nat = 17, ntyp = 3
/
ATOMIC_SPECIES
Ga 69.72 Ga.upf
Pd 106.42 Pd.upf
Tm 168.93 Tm.upf
CELL_PARAMETERS angstrom
-4.353 -1.239 -5.798
5.443 4.546 -1.948
2.843 -6.368 2.337
ATOMIC_POSITIONS crystal
Ga 0.317 0.000 0.317
Ga 0.000 0.683 0.683
Ga 0.683 0.000 0.683
Ga 0.000 0.317 0.317
Ga 0.683 0.683 0.000
Ga 0.317 0.317 0.000
Pd 0.500 0.750 0.250
Pd 0.750 0.250 0.500
Pd 0.250 0.750 0.500
Pd 0.000 0.000 0.000
Pd 0.250 0.500 0.750
Pd 0.750 0.500 0.250
Pd 0.500 0.250 0.750
Tm 0.000 0.000 0.500
Tm 0.500 0.000 0.000
Tm 0.000 0.500 0.000
Tm 0.500 0.500 0.500



! Tm3Ga12Pd, relaxed, DFT PBE; values from VASP
! Energy = -61.831 eV per cell
! DFT formation energy = -0.4313 eV per atom
! D(E_F) = 0.379 states/eV per atom
! Density = 8.2 g cm⁻³
&SYSTEM
  ibrav = 0, nat = 16, ntyp = 3
/
ATOMIC_SPECIES
Tm 168.93 Tm.upf
Ga 69.72 Ga.upf
Pd 106.42 Pd.upf
CELL_PARAMETERS angstrom
-2.563 -3.062 1.437
2.886 -2.920 -1.075
6.806 1.263 14.833
ATOMIC_POSITIONS crystal
Tm 0.000 0.000 0.239
Tm 0.000 0.000 0.500
Tm 0.000 0.000 0.761
Ga 0.000 0.500 0.370
Ga 0.500 0.500 0.756
Ga 0.500 0.000 0.109
Ga 0.500 0.500 0.500
Ga 0.500 0.500 0.000
Ga 0.000 0.500 0.109
Ga 0.500 0.500 0.244
Ga 0.500 0.000 0.370
Ga 0.500 0.000 0.891
Ga 0.000 0.500 0.630
Ga 0.000 0.500 0.891
Ga 0.500 0.000 0.630
Pd 0.000 0.000 0.000